{"formula": "La2PmSi3Pt12", "functional": "GGA-PBE", "state": "relaxed", "dos_at_fermi_per_ev_fu": 8.9, "e_form_raw_mev_per_atom": -564, "lattice_angstrom": [[4.1809, 2.4139, 6.1159], [-4.1809, 2.4139, 6.1159], [0.0000, -4.8277, 6.1159]], "species": ["La", "La", "Pm", "Si", "Si", "Si", "Pt", "Pt", "Pt", "Pt", "Pt", "Pt", "Pt", "Pt", "Pt", "Pt", "Pt", "Pt"], "fractional_positions": [[0.0995, 0.0995, 0.0995], [0.9005, 0.9005, 0.9005], [0.5000, 0.5000, 0.5000], [0.0000, 0.5000, 0.5000], [0.5000, 0.0000, 0.5000], [0.5000, 0.5000, 0.0000], [0.0923, 0.6470, 0.6470], [0.1522, 0.1522, 0.5994], [0.1522, 0.5994, 0.1522], [0.3530, 0.3530, 0.9077], [0.3530, 0.9077, 0.3530], [0.4006, 0.8478, 0.8478], [0.5994, 0.1522, 0.1522], [0.6470, 0.0923, 0.6470], [0.6470, 0.6470, 0.0923], [0.8478, 0.4006, 0.8478], [0.8478, 0.8478, 0.4006], [0.9077, 0.3530, 0.3530]]}



{"formula": "RbNpBe2F8", "functional": "GGA-PBE", "state": "relaxed", "dos_at_fermi_per_ev_fu": 6.2, "e_form_raw_mev_per_atom": -3237, "lattice_angstrom": [[2.5826, 1.4911, 8.2662], [-2.5826, 1.4911, 8.2662], [0.0000, -2.9822, 8.2662]], "species": ["Rb", "Np", "Be", "Be", "F", "F", "F", "F", "F", "F", "F", "F"], "fractional_positions": [[0.0000, 0.0000, 0.0000], [0.5000, 0.5000, 0.5000], [0.2501, 0.2501, 0.2501], [0.7499, 0.7499, 0.7499], [0.0648, 0.4967, 0.7639], [0.2361, 0.5033, 0.9352], [0.3099, 0.3099, 0.3099], [0.4967, 0.7639, 0.0648], [0.5033, 0.9352, 0.2361], [0.6901, 0.6901, 0.6901], [0.7639, 0.0648, 0.4967], [0.9352, 0.2361, 0.5033]]}



{"formula": "In2RuPbI", "functional": "GGA-PBE", "state": "relaxed", "dos_at_fermi_per_ev_fu": 3.0, "e_form_raw_mev_per_atom": -97, "lattice_angstrom": [[5.2897, 0.0000, 0.0000], [0.0000, 5.2897, 0.0000], [0.0000, 0.0000, 5.3007]], "species": ["In", "In", "Ru", "Pb", "I"], "fractional_positions": [[0.0000, 0.5000, 0.0000], [0.5000, 0.0000, 0.0000], [0.0000, 0.0000, 0.0000], [0.0000, 0.0000, 0.5000], [0.5000, 0.5000, 0.5000]]}



{"formula": "RbTcClO3", "functional": "GGA-PBE", "state": "relaxed", "dos_at_fermi_per_ev_fu": 5.4, "e_form_raw_mev_per_atom": -1418, "lattice_angstrom": [[3.1322, -10.0233, 0.0000], [3.1322, 10.0233, 0.0000], [0.0000, 0.0000, 5.3675]], "species": ["Rb", "Rb", "Tc", "Tc", "Cl", "Cl", "O", "O", "O", "O", "O", "O"], "fractional_positions": [[0.2219, 0.7781, 0.7500], [0.7781, 0.2219, 0.2500], [0.0337, 0.9663, 0.2500], [0.9663, 0.0337, 0.7500], [0.3091, 0.6909, 0.2500], [0.6909, 0.3091, 0.7500], [0.1184, 0.8816, 0.2500], [0.1925, 0.1925, 0.0000], [0.1925, 0.1925, 0.5000], [0.8075, 0.8075, 0.0000], [0.8075, 0.8075, 0.5000], [0.8816, 0.1184, 0.7500]]}



{"formula": "Mg2ScBr", "functional": "GGA-PBE", "state": "relaxed", "dos_at_fermi_per_ev_fu": 4.5, "e_form_raw_mev_per_atom": 241, "lattice_angstrom": [[7.5252, 0.0000, 0.0000], [0.0000, 7.5252, 0.0000], [0.0000, 0.0000, 7.5252]], "species": ["Mg", "Mg", "Mg", "Mg", "Mg", "Mg", "Mg", "Mg", "Sc", "Sc", "Sc", "Sc", "Br", "Br", "Br", "Br"], "fractional_positions": [[0.2500, 0.2500, 0.2500], [0.2500, 0.2500, 0.7500], [0.2500, 0.7500, 0.2500], [0.2500, 0.7500, 0.7500], [0.7500, 0.2500, 0.2500], [0.7500, 0.2500, 0.7500], [0.7500, 0.7500, 0.2500], [0.7500, 0.7500, 0.7500], [0.0000, 0.0000, 0.0000], [0.0000, 0.5000, 0.5000], [0.5000, 0.0000, 0.5000], [0.5000, 0.5000, 0.0000], [0.0000, 0.0000, 0.5000], [0.0000, 0.5000, 0.0000], [0.5000, 0.0000, 0.0000], [0.5000, 0.5000, 0.5000]]}



{"formula": "CaPm3Tl", "functional": "GGA-PBE", "state": "relaxed", "dos_at_fermi_per_ev_fu": 5.9, "formation_enthalpy_0k_ev_per_fu": -0.3, "lattice_angstrom": [[5.4108, 0.0000, 0.0000], [0.0000, 8.8288, 0.0000], [0.0000, 0.0000, 7.1315]], "species": ["Ca", "Ca", "Pm", "Pm", "Pm", "Pm", "Pm", "Pm", "Tl", "Tl"], "fractional_positions": [[0.2500, 0.2500, 0.2341], [0.7500, 0.7500, 0.7659], [0.2500, 0.0557, 0.7309], [0.2500, 0.4443, 0.7309], [0.2500, 0.7500, 0.0710], [0.7500, 0.2500, 0.9290], [0.7500, 0.5557, 0.2691], [0.7500, 0.9443, 0.2691], [0.2500, 0.7500, 0.4957], [0.7500, 0.2500, 0.5043]]}



{"formula": "Cr2NiRh6", "functional": "GGA-PBE", "state": "relaxed", "dos_at_fermi_per_ev_fu": 9.1, "formation_enthalpy_0k_ev_per_fu": -0.7, "lattice_angstrom": [[0.0000, 5.5106, 5.7315], [1.9125, 0.0000, 5.7315], [1.9125, 5.5106, 0.0000]], "species": ["Cr", "Cr", "Ni", "Rh", "Rh", "Rh", "Rh", "Rh", "Rh"], "fractional_positions": [[0.1615, 0.1615, 0.8385], [0.8385, 0.8385, 0.1615], [0.5000, 0.5000, 0.5000], [0.1614, 0.8386, 0.1614], [0.1750, 0.4881, 0.5119], [0.4881, 0.1750, 0.8250], [0.5119, 0.8250, 0.1750], [0.8250, 0.5119, 0.4881], [0.8386, 0.1614, 0.8386]]}



{"formula": "SbOsRu2", "functional": "GGA-PBE", "state": "relaxed", "dos_at_fermi_per_ev_fu": 3.5, "e_form_raw_mev_per_atom": 325, "lattice_angstrom": [[4.0902, 0.0000, 0.0000], [0.0000, 2.8851, 0.0000], [0.0000, 0.0000, 10.7457]], "species": ["Sb", "Sb", "Os", "Os", "Ru", "Ru", "Ru", "Ru"], "fractional_positions": [[0.0000, 0.0000, 0.0000], [0.0000, 0.5000, 0.5000], [0.5000, 0.0000, 0.1579], [0.5000, 0.5000, 0.6579], [0.0000, 0.0000, 0.7544], [0.0000, 0.5000, 0.2544], [0.5000, 0.0000, 0.4022], [0.5000, 0.5000, 0.9022]]}



{"formula": "AsHPbSe2", "functional": "GGA-PBE", "state": "relaxed", "dos_at_fermi_per_ev_fu": 6.1, "total_energy_ev_per_atom": -2.5821, "lattice_angstrom": [[5.6654, 0.0000, 0.0000], [0.0000, 5.6654, 0.0000], [0.0000, 0.0000, 5.6845]], "species": ["As", "H", "Pb", "Se", "Se"], "fractional_positions": [[0.0000, 0.0000, 0.0000], [0.5000, 0.5000, 0.0000], [0.0000, 0.0000, 0.5000], [0.0000, 0.5000, 0.5000], [0.5000, 0.0000, 0.5000]]}



{"formula": "Y3Mo", "functional": "GGA-PBE", "state": "relaxed", "dos_at_fermi_per_ev_fu": 5.3, "formation_enthalpy_0k_ev_per_fu": 1.2, "lattice_angstrom": [[3.9802, 0.0000, 0.0000], [0.0000, 9.6669, 0.0000], [0.0000, 0.0000, 5.6773]], "species": ["Y", "Y", "Y", "Y", "Y", "Y", "Mo", "Mo"], "fractional_positions": [[0.0000, 0.0000, 0.0000], [0.0000, 0.2083, 0.4895], [0.0000, 0.7917, 0.4895], [0.5000, 0.2917, 0.9895], [0.5000, 0.5000, 0.5000], [0.5000, 0.7083, 0.9895], [0.0000, 0.5000, 0.1119], [0.5000, 0.0000, 0.6119]]}



{"formula": "Sr2Cd7Hg", "functional": "GGA-PBE", "state": "relaxed", "dos_at_fermi_per_ev_fu": 2.7, "formation_enthalpy_0k_ev_per_fu": -2.6, "lattice_angstrom": [[4.6212, 0.0000, 0.0000], [0.0000, 4.6212, 0.0000], [0.0000, 0.0000, 12.9092]], "species": ["Sr", "Sr", "Cd", "Cd", "Cd", "Cd", "Cd", "Cd", "Cd", "Hg"], "fractional_positions": [[0.0000, 0.5000, 0.2495], [0.5000, 0.0000, 0.7505], [0.0000, 0.0000, 0.0000], [0.0000, 0.0000, 0.5000], [0.0000, 0.5000, 0.6409], [0.0000, 0.5000, 0.8577], [0.5000, 0.0000, 0.1423], [0.5000, 0.0000, 0.3591], [0.5000, 0.5000, 0.5000], [0.5000, 0.5000, 0.0000]]}



{"formula": "LiNpSO", "functional": "GGA-PBE", "state": "relaxed", "dos_at_fermi_per_ev_fu": 5.9, "e_form_raw_mev_per_atom": -1868, "lattice_angstrom": [[3.7539, 0.0000, 0.0000], [-1.8769, 3.2509, 0.0000], [0.0000, 0.0000, 16.2161]], "species": ["Li", "Li", "Li", "Np", "Np", "Np", "S", "S", "S", "O", "O", "O"], "fractional_positions": [[0.0000, 0.0000, 0.0000], [0.3333, 0.6667, 0.6667], [0.6667, 0.3333, 0.3333], [0.0000, 0.0000, 0.5057], [0.3333, 0.6667, 0.1723], [0.6667, 0.3333, 0.8390], [0.0000, 0.0000, 0.7234], [0.3333, 0.6667, 0.3901], [0.6667, 0.3333, 0.0568], [0.0000, 0.0000, 0.2151], [0.3333, 0.6667, 0.8817], [0.6667, 0.3333, 0.5484]]}